A relaxed structure of PuCoGeO6. Source: the Alexandria database, functional PBE+U.

Cell and atoms, written as CIF:
```
data_PuCoGeO6
_chemical_formula_sum 'Pu2 Co2 Ge2 O12'
_space_group_name_H-M_alt 'P -3 1 c'
_space_group_IT_number 163
_space_group_name_Hall '-P 3 2c'
_cell_length_a 5.2127
_cell_length_b 5.2127
_cell_length_c 8.9721
_cell_angle_alpha 90.00
_cell_angle_beta 90.00
_cell_angle_gamma 120.00
loop_
_atom_site_label
_atom_site_fract_x
_atom_site_fract_y
_atom_site_fract_z
Pu1 0.3333 0.6667 0.2500
Co1 0.0000 0.0000 0.0000
Ge1 0.3333 0.6667 0.7500
O1 0.0219 0.3552 0.6319
```

Computed properties:
The value obtained for the calculated volume is 211.1 Å³ per cell. The energy is -0.567 Ry/atom.